The following is a DFT calculation (PBE) of a relaxed structure of Co3TcRh.

Properties
**Spin magnetization**: 3.12 μB per cell
**Volume**: 16.21 Å³ per atom
**Formation energy**: 1530 meV per atom
**Electronic total energy**: -31.39 eV/f.u.
**DOS(E_F)**: 2.0937 states/eV/atom

```
data_Co3TcRh
_symmetry_space_group_name_H-M 'P m -3 m'
_symmetry_Int_Tables_number 221
_symmetry_space_group_name_Hall '-P 4 2 3'
_cell_length_a 4.327
_cell_length_b 4.327
_cell_length_c 4.327
_cell_angle_alpha 90.00
_cell_angle_beta 90.00
_cell_angle_gamma 90.00
loop_
_atom_site_label
_atom_site_type_symbol
_atom_site_fract_x
_atom_site_fract_y
_atom_site_fract_z
Co1 Co 0.000 0.000 0.500
Tc1 Tc 0.000 0.000 0.000
Rh1 Rh 0.500 0.500 0.500
```